A relaxed LiEr2F6 crystal. Source: Alexandria, functional PBE.

Calculated values
D(E_F) (states/eV/cell): 0.8
Uncorrected formation energy (eV per atom): -3.599
Space-group type: P2_1/c, No. 14
Total magnetic moment (μB/f.u.): 1.0
E_tot (eV per cell): -109.3

Lattice parameters (Å, degrees): 5.504 6.219 9.597 90.00 124.75 90.00
Fractional positions:
1 Li 0.000 0.000 0.000
2 Li 0.000 0.500 0.500
3 Er 0.265 0.001 0.764
4 Er 0.265 0.499 0.264
5 Er 0.735 0.501 0.736
6 Er 0.735 0.999 0.236
7 F 0.026 0.186 0.191
8 F 0.026 0.314 0.691
9 F 0.325 0.137 0.001
10 F 0.325 0.363 0.501
11 F 0.356 0.689 0.690
12 F 0.356 0.811 0.190
13 F 0.644 0.189 0.810
14 F 0.644 0.311 0.310
15 F 0.675 0.637 0.499
16 F 0.675 0.863 0.999
17 F 0.974 0.686 0.309
18 F 0.974 0.814 0.809